1.
{
  "formula": "Pb3CN",
  "functional": "GGA-PBE",
  "state": "relaxed",
  "lattice": [[4.905, 0.000, 0.000], [0.000, 4.905, 0.000], [0.000, 0.000, 4.905]],
  "species": ["Pb", "Pb", "Pb", "C", "N"],
  "fractional_positions": [[0.000, 0.000, 0.500], [0.000, 0.500, 0.000], [0.500, 0.000, 0.000], [0.500, 0.500, 0.500], [0.000, 0.000, 0.000]],
  "e_form_raw_ev_per_atom": 1.644,
  "total_energy_ev_per_cell": -20.5,
  "density_g_cm3": 9.11
}

2.
{
  "formula": "NpNbGe2",
  "functional": "GGA-PBE",
  "state": "relaxed",
  "lattice": [[3.479, 0.000, 0.000], [0.000, 3.479, 0.000], [0.000, 0.000, 6.312]],
  "species": ["Np", "Nb", "Ge", "Ge"],
  "fractional_positions": [[0.000, 0.000, 0.000], [0.000, 0.000, 0.500], [0.500, 0.500, 0.290], [0.500, 0.500, 0.710]],
  "formation_enthalpy_0k_ev_per_atom": -0.17,
  "total_energy_ev_per_cell": -32.9,
  "density_g_cm3": 10.33
}

3.
{
  "formula": "FePtBr",
  "functional": "GGA-PBE",
  "state": "relaxed",
  "lattice": [[0.000, 3.057, 3.057], [3.057, 0.000, 3.057], [3.057, 3.057, 0.000]],
  "species": ["Fe", "Pt", "Br"],
  "fractional_positions": [[0.000, 0.000, 0.000], [0.750, 0.750, 0.750], [0.250, 0.250, 0.250]],
  "e_form_raw_ev_per_atom": 0.534,
  "total_energy_ev_per_cell": -14.6,
  "density_g_cm3": 9.61
}

4.
{
  "formula": "SrCo2Mo",
  "functional": "GGA-PBE",
  "state": "relaxed",
  "lattice": [[2.048, 1.183, 5.677], [-2.048, 1.183, 5.677], [0.000, -2.365, 5.677]],
  "species": ["Sr", "Co", "Co", "Mo"],
  "fractional_positions": [[0.000, 0.000, 0.000], [0.192, 0.192, 0.192], [0.523, 0.523, 0.523], [0.814, 0.814, 0.814]],
  "formation_enthalpy_0k_ev_per_atom": 0.41,
  "total_energy_ev_per_cell": -25.1,
  "density_g_cm3": 6.07
}

5.
{
  "formula": "LiTmPa2S4",
  "functional": "GGA-PBE",
  "state": "relaxed",
  "lattice": [[6.389, 0.000, 0.000], [0.000, 3.713, 0.000], [-2.142, 0.000, 6.727]],
  "species": ["Li", "Tm", "Pa", "Pa", "S", "S", "S", "S"],
  "fractional_positions": [[0.000, 0.000, 0.000], [0.500, 0.500, 0.000], [0.000, 0.500, 0.500], [0.500, 0.000, 0.500], [0.238, 0.500, 0.231], [0.248, 0.000, 0.767], [0.752, 0.000, 0.233], [0.762, 0.500, 0.769]],
  "e_form_raw_ev_per_atom": -1.634,
  "total_energy_ev_per_cell": -55.0,
  "density_g_cm3": 7.97
}

6.
{
  "formula": "Ag2MoW",
  "functional": "GGA-PBE",
  "state": "relaxed",
  "lattice": [[3.800, 0.000, 0.000], [0.000, 3.800, 0.000], [0.000, 0.000, 4.574]],
  "species": ["Ag", "Ag", "Mo", "W"],
  "fractional_positions": [[0.000, 0.500, 0.000], [0.500, 0.000, 0.000], [0.000, 0.000, 0.500], [0.500, 0.500, 0.500]],
  "formation_enthalpy_0k_ev_per_atom": 0.61,
  "total_energy_ev_per_cell": -27.1,
  "density_g_cm3": 12.46
}

7.
{
  "formula": "BaNaGa2Rh",
  "functional": "GGA-PBE",
  "state": "relaxed",
  "lattice": [[4.866, 0.000, 0.000], [0.000, 4.866, 0.000], [0.000, 0.000, 5.383]],
  "species": ["Ba", "Na", "Ga", "Ga", "Rh"],
  "fractional_positions": [[0.000, 0.000, 0.000], [0.500, 0.500, 0.000], [0.000, 0.500, 0.500], [0.500, 0.000, 0.500], [0.500, 0.500, 0.500]],
  "formation_enthalpy_0k_ev_per_atom": -0.35,
  "total_energy_ev_per_cell": -18.4,
  "density_g_cm3": 5.25
}

8.
{
  "formula": "Be2ReBr",
  "functional": "GGA-PBE",
  "state": "relaxed",
  "lattice": [[3.846, -1.448, 0.000], [3.846, 1.448, 0.000], [-0.861, 0.000, 5.894]],
  "species": ["Be", "Be", "Re", "Br"],
  "fractional_positions": [[0.000, 0.000, 0.000], [0.732, 0.732, 0.164], [0.469, 0.469, 0.296], [0.087, 0.087, 0.651]],
  "e_form_raw_ev_per_atom": 0.470,
  "total_energy_ev_per_cell": -19.7,
  "density_g_cm3": 7.19
}

9.
{
  "formula": "HfGaFe2",
  "functional": "GGA-PBE",
  "state": "relaxed",
  "lattice": [[4.151, 0.000, 0.000], [0.000, 4.151, 0.000], [0.000, 0.000, 3.177]],
  "species": ["Hf", "Ga", "Fe", "Fe"],
  "fractional_positions": [[0.000, 0.000, 0.000], [0.500, 0.500, 0.000], [0.000, 0.500, 0.500], [0.500, 0.000, 0.500]],
  "formation_enthalpy_0k_ev_per_atom": -0.24,
  "total_energy_ev_per_cell": -30.8,
  "density_g_cm3": 10.92
}

10.
{
  "formula": "HPd2PtRh",
  "functional": "GGA-PBE",
  "state": "relaxed",
  "lattice": [[3.997, 0.000, 0.000], [0.000, 3.997, 0.000], [0.000, 0.000, 3.945]],
  "species": ["H", "Pd", "Pd", "Pt", "Rh"],
  "fractional_positions": [[0.000, 0.000, 0.000], [0.000, 0.500, 0.000], [0.500, 0.000, 0.000], [0.500, 0.500, 0.500], [0.000, 0.000, 0.500]],
  "total_energy_ev_per_cell": -27.0,
  "density_g_cm3": 13.49
}

11.
{
  "formula": "AcSnBi3",
  "functional": "GGA-PBE",
  "state": "relaxed",
  "lattice": [[15.104, 0.000, 0.000], [0.000, 6.603, 0.000], [0.000, 0.000, 6.807]],
  "species": ["Ac", "Ac", "Ac", "Ac", "Sn", "Sn", "Sn", "Sn", "Bi", "Bi", "Bi", "Bi", "Bi", "Bi", "Bi", "Bi", "Bi", "Bi", "Bi", "Bi"],
  "fractional_positions": [[0.178, 0.004, 0.250], [0.178, 0.496, 0.750], [0.822, 0.504, 0.250], [0.822, 0.996, 0.750], [0.389, 0.250, 0.000], [0.389, 0.250, 0.500], [0.611, 0.750, 0.000], [0.611, 0.750, 0.500], [0.000, 0.250, 0.000], [0.000, 0.250, 0.500], [0.000, 0.750, 0.000], [0.000, 0.750, 0.500], [0.236, 0.507, 0.250], [0.236, 0.993, 0.750], [0.412, 0.710, 0.750], [0.412, 0.790, 0.250], [0.588, 0.210, 0.750], [0.588, 0.290, 0.250], [0.764, 0.007, 0.250], [0.764, 0.493, 0.750]],
  "formation_enthalpy_0k_ev_per_atom": -0.37,
  "total_energy_ev_per_cell": -86.3,
  "density_g_cm3": 9.52
}

12.
{
  "formula": "TmH6Ir2Pb",
  "functional": "GGA-PBE",
  "state": "relaxed",
  "lattice": [[4.144, -4.862, 0.000], [4.144, 4.862, 0.000], [-1.200, 0.000, 5.394]],
  "species": ["Tm", "Tm", "H", "H", "H", "H", "H", "H", "H", "H", "H", "H", "H", "H", "Ir", "Ir", "Ir", "Ir", "Pb", "Pb"],
  "fractional_positions": [[0.136, 0.864, 0.750], [0.864, 0.136, 0.250], [0.068, 0.574, 0.412], [0.174, 0.178, 0.558], [0.178, 0.174, 0.058], [0.240, 0.528, 0.800], [0.426, 0.932, 0.088], [0.472, 0.760, 0.700], [0.528, 0.240, 0.300], [0.574, 0.068, 0.912], [0.760, 0.472, 0.200], [0.822, 0.826, 0.942], [0.826, 0.822, 0.442], [0.932, 0.426, 0.588], [0.054, 0.315, 0.801], [0.315, 0.054, 0.301], [0.685, 0.946, 0.699], [0.946, 0.685, 0.199], [0.393, 0.607, 0.250], [0.607, 0.393, 0.750]],
  "total_energy_ev_per_cell": -95.5,
  "density_g_cm3": 11.71
}